1.
Here is a relaxed KNa23Tl6 crystal from the Alexandria database. Energies are from PBE.

Cell: 15.8616 15.8616 15.8616 Å, 90.00 90.00 90.00°
Last column: nearest neighbours and their distance in Å.
Space group Fm-3m (No. 225)
Symmetry-distinct sites (fractional):
K 0.0000 0.0000 0.0000  8 Na 3.55, 6 Tl 3.96
Na 0.0000 0.0000 0.5000  8 Na 3.35
Na 0.0000 0.2500 0.2500  8 Na 3.40-3.46
Na 0.1221 0.1221 0.3779  4 Na 3.35-3.46, 3 Tl 3.41
Na 0.1291 0.1291 0.1291  3 Na 3.40, 3 Tl 3.47, 1 K 3.55
Tl 0.0000 0.0000 0.2498  8 Na 3.41-3.47

Computed properties:
DFT total energy ... -1.56 eV/atom


2.
Here is a relaxed KNa9Tl2 crystal from the Alexandria database. Energies are from PBE.

Cell: 13.9851 13.9851 8.9973 Å, 90.00 90.00 90.00°
Last column: nearest neighbours and their distance in Å.
Space group I4_1/amd (No. 141, origin choice 2)
Symmetry-distinct sites (fractional):
K 0.0000 0.2500 0.3750  18 Na 4.31-4.60
Na 0.0000 0.2500 0.8750  8 Na 3.65, 4 Tl 3.67
Na 0.1221 0.0527 0.6900  2 Tl 3.33-3.35, 6 Na 3.41-3.72
Tl 0.0000 0.0000 0.0000  10 Na 3.33-3.67

Computed properties:
Energy above the most stable polymorph in this dataset ... 0.0000 eV/atom


3.
Here is a relaxed K2Na2Tl crystal from the Alexandria database. Energies are from PBE.

Cell: 8.0721 16.5857 6.8776 Å, 90.00 90.00 90.00°
Last column: nearest neighbours and their distance in Å.
Space group Ibam (No. 72)
Symmetry-distinct sites (fractional):
K 0.1563 0.1044 0.0000  2 Tl 3.69, 4 Na 3.84-4.00
Na 0.1219 0.3351 0.0000  2 Tl 3.38
Tl 0.0000 0.5000 0.2500  4 Na 3.38, 2 Tl 3.44, 4 K 3.69

Computed properties:
Energy above the most stable polymorph in this dataset ... 0.0000 eV/atom


4.
Here is a relaxed K6Na2Tl crystal from the Alexandria database. Energies are from PBE.

Cell: 6.7212 6.7212 38.3499 Å, 90.00 90.00 120.00°
Last column: nearest neighbours and their distance in Å.
Space group R-3m (No. 166, hexagonal axes)
Symmetry-distinct sites (fractional):
K 0.0000 0.0000 0.0787  3 Na 3.88
K 0.0000 0.0000 0.1924  3 Tl 4.00, 4 K 4.35-4.36, 3 Na 4.46
K 0.0000 0.0000 0.3103  4 Na 4.09-4.52, 7 K 4.26-4.52
Na 0.0000 0.0000 0.4169  1 Tl 3.19
Tl 0.0000 0.0000 0.5000  2 Na 3.19

Computed properties:
DFT total energy ... -1.28 eV/atom


5.
Here is a relaxed KNaTl11 crystal from the Alexandria database. Energies are from PBE.

Cell: 6.4031 16.0411 8.6609 Å, 90.00 109.81 90.00°
Last column: nearest neighbours and their distance in Å.
Space group C2/m (No. 12)
Symmetry-distinct sites (fractional):
K 0.0000 0.0000 0.0000  18 Tl 3.99-4.33, 2 Na 4.43
Na 0.0000 0.5000 0.5000  10 Tl 3.20-3.51
Tl 0.0000 0.0000 0.5000  2 Na 3.20, 8 Tl 3.34-3.49
Tl 0.1041 0.3944 0.2145  1 Na 3.25, 7 Tl 3.30-3.63
Tl 0.1821 0.1802 0.3578  5 Tl 3.22-3.56, 1 Na 3.51
Tl 0.2500 0.2500 0.0000  10 Tl 3.20-3.56

Computed properties:
DFT total energy ... -2.22 eV/atom


6.
Here is a relaxed KNa3Tl crystal from the Alexandria database. Energies are from PBE.

Cell: 6.0861 6.0861 6.0861 Å, 90.00 90.00 90.00°
Last column: nearest neighbours and their distance in Å.
Space group Pm-3m (No. 221)
Symmetry-distinct sites (fractional):
K 0.0000 0.0000 0.0000  12 Na 4.30
Na 0.0000 0.5000 0.5000  2 Tl 3.04
Tl 0.5000 0.5000 0.5000  6 Na 3.04

Computed properties:
Energy above the most stable polymorph in this dataset ... 0.0664 eV/atom


7.
Here is a relaxed KNa12Tl5 crystal from the Alexandria database. Energies are from PBE.

Cell: 9.6407 10.6786 12.4182 Å, 90.00 90.00 90.00°
Last column: nearest neighbours and their distance in Å.
Space group Immm (No. 71)
Symmetry-distinct sites (fractional):
K 0.0000 0.0000 0.0000  12 Na 3.81-3.97
Na 0.0000 0.3020 0.1862  3 Tl 3.18-3.49
Na 0.1795 0.2718 0.5000  4 Tl 3.30-3.38, 1 Na 3.46
Na 0.1968 0.0000 0.2656  3 Tl 3.23-3.47
Tl 0.0000 0.0000 0.5000  2 Tl 3.29, 8 Na 3.38-3.47
Tl 0.0000 0.5000 0.3771  1 Tl 3.05, 6 Na 3.18-3.36
Tl 0.1586 0.5000 0.0000  2 Tl 3.06-3.29, 4 Na 3.23-3.30

Computed properties:
DFT total energy ... -1.63 eV/atom


8.
Here is a relaxed K2NaTl3 crystal from the Alexandria database. Energies are from PBE.

Cell: 14.5722 10.6863 6.3332 Å, 90.00 90.00 90.00°
Last column: nearest neighbours and their distance in Å.
Space group Cmcm (No. 63)
Symmetry-distinct sites (fractional):
K 0.1843 0.1715 0.2500  6 Tl 3.62-4.01
Na 0.0000 0.2646 0.7500  6 Tl 3.24-3.37
Tl 0.0000 0.0000 0.0000  2 Tl 3.17, 2 Na 3.24
Tl 0.1086 0.5000 0.0000  3 Tl 3.17, 2 Na 3.37

Computed properties:
Energy above the most stable polymorph in this dataset ... 0.0809 eV/atom


9.
Here is a relaxed K2Na5Tl3 crystal from the Alexandria database. Energies are from PBE.

Cell: 12.9435 15.9287 7.0199 Å, 90.00 98.39 90.00°
Last column: nearest neighbours and their distance in Å.
Space group C2/c (No. 15)
Symmetry-distinct sites (fractional):
K 0.1151 0.2212 0.0867  6 Na 3.65-4.05, 4 Tl 3.72-4.09, 2 K 3.97-4.02
Na 0.0000 0.0048 0.2500  4 Tl 3.39-3.61, 4 Na 3.51-3.76
Na 0.1158 0.3463 0.5847  4 Tl 3.30-3.45, 1 Na 3.35, 1 K 3.65
Na 0.2209 0.4639 0.0376  4 Tl 3.28-3.42, 1 Na 3.35
Tl 0.0000 0.4784 0.2500  8 Na 3.34-3.45, 2 Tl 3.58
Tl 0.1609 0.1384 0.5879  6 Na 3.28-3.61

Computed properties:
DFT total energy ... -1.64 eV/atom


10.
Here is a relaxed KNa5Tl crystal from the Alexandria database. Energies are from PBE.

Cell: 4.8653 4.8653 12.0150 Å, 90.00 90.00 90.00°
Last column: nearest neighbours and their distance in Å.
Space group P4/mmm (No. 123)
Symmetry-distinct sites (fractional):
K 0.0000 0.0000 0.0000  8 Na 4.22
Na 0.0000 0.0000 0.5000  4 Tl 3.44, 8 Na 3.53
Na 0.0000 0.5000 0.2868  6 Na 3.44-3.53, 2 Tl 3.53
Tl 0.5000 0.5000 0.5000  12 Na 3.44-3.53

Computed properties:
Energy above the most stable polymorph in this dataset ... 0.0090 eV/atom


11.
Here is a relaxed KNa3Tl crystal from the Alexandria database. Energies are from PBE.

Cell: 18.1229 11.5778 7.6971 Å, 90.00 101.49 90.00°
Last column: nearest neighbours and their distance in Å.
Space group C2/c (No. 15)
Symmetry-distinct sites (fractional):
K 0.0000 0.0307 0.2500  2 Tl 3.70, 2 K 3.91, 2 Na 4.02
K 0.0000 0.3622 0.7500  6 Tl 3.96-4.31, 6 Na 3.97-4.34
Na 0.1773 0.4993 0.0969  2 Tl 3.23-3.28, 2 Na 3.52-3.61
Na 0.1779 0.1643 0.0794  1 Tl 3.24
Na 0.1910 0.1621 0.6019  1 Tl 3.22, 2 Na 3.52-3.54
Tl 0.0854 0.3222 0.3113  1 Tl 3.05, 4 Na 3.22-3.28

Computed properties:
Energy above the most stable polymorph in this dataset ... 0.0204 eV/atom


12.
Here is a relaxed KNa3Tl7 crystal from the Alexandria database. Energies are from PBE.

Cell: 10.8136 9.6051 7.0173 Å, 90.00 93.40 90.00°
Last column: nearest neighbours and their distance in Å.
Space group C2/m (No. 12)
Symmetry-distinct sites (fractional):
K 0.0000 0.0000 0.0000  8 Tl 3.51-3.67
Na 0.0000 0.3185 0.5000  5 Tl 3.06-3.37
Na 0.0000 0.5000 0.0000  6 Tl 3.43-3.51
Tl 0.0000 0.0000 0.5000  2 Na 3.06, 2 Tl 3.19
Tl 0.2329 0.5000 0.6716  3 Tl 3.19-3.21, 3 Na 3.24-3.51
Tl 0.2441 0.3240 0.2227  4 Tl 3.21-3.58, 3 Na 3.37-3.56

Computed properties:
DFT total energy ... -2.00 eV/atom


13.
Here is a relaxed K10Na4Tl crystal from the Alexandria database. Energies are from PBE.

Cell: 14.5065 14.5065 9.2480 Å, 90.00 90.00 90.00°
Last column: nearest neighbours and their distance in Å.
Space group I4/m (No. 87)
Symmetry-distinct sites (fractional):
K 0.0000 0.5000 0.2500  4 Na 3.99
K 0.0961 0.8128 0.2345  1 Tl 3.74, 3 Na 4.04-4.08
Na 0.0990 0.2986 0.5000  8 K 3.99-4.08
Tl 0.0000 0.0000 0.0000  8 K 3.74

Computed properties:
DFT total energy ... -1.16 eV/atom


14.
Here is a relaxed K5NaTl6 crystal from the Alexandria database. Energies are from PBE.

Cell: 5.2590 16.7904 10.9508 Å, 90.00 90.09 90.00°
Last column: nearest neighbours and their distance in Å.
Space group C2/m (No. 12)
Symmetry-distinct sites (fractional):
K 0.0000 0.0000 0.0000  8 Tl 3.48-3.84, 4 K 3.85
K 0.0000 0.3322 0.0000  4 K 3.81-3.85, 6 Tl 3.97-4.02
K 0.0000 0.3344 0.5000  6 Tl 3.78-3.86, 2 Na 3.83, 2 K 3.87
Na 0.0000 0.0000 0.5000  4 Tl 3.21
Tl 0.0000 0.1143 0.2648  1 Na 3.21, 2 Tl 3.26, 1 K 3.48
Tl 0.0000 0.5000 0.2549  4 Tl 3.26

Computed properties:
DFT total energy ... -1.79 eV/atom


15.
Here is a relaxed K3Na4Tl4 crystal from the Alexandria database. Energies are from PBE.

Cell: 5.2117 9.0848 17.3625 Å, 90.00 90.00 90.00°
Last column: nearest neighbours and their distance in Å.
Space group Immm (No. 71)
Symmetry-distinct sites (fractional):
K 0.0000 0.0000 0.0000  6 Na 3.78-3.82
K 0.0000 0.5000 0.1319  6 Na 3.66-3.91, 6 Tl 3.73-3.91
Na 0.0000 0.0000 0.2199  6 Tl 3.22-3.31
Na 0.0000 0.1983 0.5000  2 Tl 3.25, 1 Na 3.60
Tl 0.0000 0.3084 0.3219  4 Na 3.22-3.31, 1 Tl 3.48

Computed properties:
DFT total energy ... -1.68 eV/atom


16.
Here is a relaxed K2NaTl crystal from the Alexandria database. Energies are from PBE.

Cell: 8.9209 8.9209 8.9209 Å, 90.00 90.00 90.00°
Last column: nearest neighbours and their distance in Å.
Space group Fm-3m (No. 225)
Symmetry-distinct sites (fractional):
K 0.2500 0.2500 0.2500  4 Tl 3.86, 4 Na 3.86
Na 0.0000 0.0000 0.0000  8 K 3.86
Tl 0.0000 0.0000 0.5000  8 K 3.86

Computed properties:
Energy above the most stable polymorph in this dataset ... 0.0563 eV/atom


17.
Here is a relaxed KNa3Tl crystal from the Alexandria database. Energies are from PBE.

Cell: 6.3249 6.3249 6.3249 Å, 90.00 90.00 90.00°
Last column: nearest neighbours and their distance in Å.
Space group Pm-3m (No. 221)
Symmetry-distinct sites (fractional):
K 0.0000 0.0000 0.0000  6 Na 3.16
Na 0.0000 0.0000 0.5000  2 K 3.16
Tl 0.5000 0.5000 0.5000  12 Na 4.47

Computed properties:
Energy above the most stable polymorph in this dataset ... 0.4803 eV/atom


18.
Here is a relaxed K2NaTl crystal from the Alexandria database. Energies are from PBE.

Cell: 10.0333 10.0333 7.2650 Å, 90.00 90.00 90.00°
Last column: nearest neighbours and their distance in Å.
Space group I-42d (No. 122)
Symmetry-distinct sites (fractional):
K 0.2361 0.2500 0.1250  2 Tl 3.57, 2 K 3.64, 2 Na 3.76
Na 0.0000 0.0000 0.5000  2 Tl 3.63, 4 K 3.76
Tl 0.0000 0.0000 0.0000  4 K 3.57, 2 Na 3.63

Computed properties:
Energy above the most stable polymorph in this dataset ... 0.1124 eV/atom


19.
Here is a relaxed K2Na6Tl9 crystal from the Alexandria database. Energies are from PBE.

Cell: 6.5530 6.5530 16.5460 Å, 90.00 90.00 120.00°
Last column: nearest neighbours and their distance in Å.
Space group P6/mmm (No. 191)
Symmetry-distinct sites (fractional):
K 0.0000 0.0000 0.1522  6 Na 3.79, 6 Tl 4.13
Na 0.3333 0.6667 0.1656  6 Tl 3.32-3.33
Na 0.3333 0.6667 0.5000  6 Tl 3.38, 3 Na 3.78
Tl 0.0000 0.5000 0.0000  4 Tl 3.28, 4 Na 3.33
Tl 0.0000 0.5000 0.3307  4 Tl 3.28, 4 Na 3.32-3.38

Computed properties:
DFT total energy ... -1.85 eV/atom


20.
Here is a relaxed KNa2Tl4 crystal from the Alexandria database. Energies are from PBE.

Cell: 10.4617 8.3044 6.3485 Å, 90.00 127.10 90.00°
Last column: nearest neighbours and their distance in Å.
Space group C2/m (No. 12)
Symmetry-distinct sites (fractional):
K 0.0000 0.0000 0.0000  12 Tl 3.67-3.88
Na 0.0015 0.5000 0.7519  2 Na 3.17-3.18, 8 Tl 3.41-3.43
Tl 0.1879 0.1887 0.6854  3 Tl 3.13-3.46, 4 Na 3.41-3.43

Computed properties:
Energy above the most stable polymorph in this dataset ... 0.0000 eV/atom


| no. | DOS(E_F) (states/eV/f.u.) |
| --- | --- |
| 1 | 14.2 |
| 2 | 6.4 |
| 3 | 3.3 |
| 4 | 6.2 |
| 5 | 7.0 |
| 6 | 3.5 |
| 7 | 8.8 |
| 8 | 4.2 |
| 9 | 5.6 |
| 10 | 3.4 |
| 11 | 2.5 |
| 12 | 4.6 |
| 13 | 10.8 |
| 14 | 5.1 |
| 15 | 5.7 |
| 16 | 4.8 |
| 17 | 2.7 |
| 18 | 0.8 |
| 19 | 10.3 |
| 20 | 3.0 |